A plane-wave DFT calculation with PBE-GGA was carried out for Ac7PtAu4 after structural relaxation.

Cell: 4.3441 7.5742 14.3437 Å, 108.27 90.00 106.66°
Element x y z (fractional)
Ac 0.3233 0.6465 0.9292
Ac 0.7460 0.4921 0.3644
Ac 0.0326 0.0652 0.7896
Ac 0.9616 0.9232 0.2089
Ac 0.6591 0.3181 0.0685
Ac 0.5124 0.0248 0.5229
Ac 0.2784 0.5568 0.6393
Au 0.1152 0.2305 0.4254
Au 0.3005 0.6011 0.2148
Au 0.9903 0.9805 0.9967
Au 0.6875 0.3750 0.7646
Pt 0.8931 0.7862 0.5757

electronic total energy	-4.699	eV/atom
symmetry	No. 8
spin magnetization	0.000	μB per formula unit
N(E_F)	12.95	states/eV/cell
DFT formation energy	-8.482	eV/f.u.
volume	427	Å³ per cell


A plane-wave DFT calculation with PBE-GGA was carried out for Sm2ScAg after structural relaxation.

Cell: 3.6266 5.4501 5.4501 Å, 90.00 90.00 90.00°
Element x y z (fractional)
Sc 0.5000 0.0000 0.0000
Sm 0.0000 0.0000 0.5000
Sm 0.0000 0.5000 0.0000
Ag 0.5000 0.5000 0.5000

electronic total energy	-4.703	eV/atom
symmetry	No. 123
spin magnetization	0.000	μB per formula unit
N(E_F)	5.02	states/eV/cell
DFT formation energy	-0.191	eV/f.u.
volume	108	Å³ per cell


A plane-wave DFT calculation with PBE-GGA was carried out for LiZnGe after structural relaxation.

Cell: 4.2344 4.2344 4.2344 Å, 60.00 60.00 60.00°
Element x y z (fractional)
Ge 0.2500 0.2500 0.2500
Zn 0.0000 0.0000 0.0000
Li 0.5000 0.5000 0.5000

electronic total energy	-2.734	eV/atom
symmetry	No. 216
spin magnetization	0.000	μB per formula unit
N(E_F)	1.89	states/eV/cell
DFT formation energy	-0.398	eV/f.u.
volume	54	Å³ per cell


A plane-wave DFT calculation with PBE-GGA was carried out for SrSbSe after structural relaxation.

Cell: 6.4242 6.4249 4.2400 Å, 70.72 70.74 38.54°
Element x y z (fractional)
Sb 0.0359 0.0359 0.9641
Se 0.2712 0.2712 0.7288
Sr 0.6929 0.6929 0.3071

electronic total energy	-3.961	eV/atom
symmetry	No. 107
spin magnetization	0.000	μB per formula unit
uncorrected formation energy	-0.8643	eV/atom
N(E_F)	2.35	states/eV/cell
volume	102	Å³ per cell


A plane-wave DFT calculation with PBE-GGA was carried out for SrSmPdRh after structural relaxation.

Cell: 5.0812 5.0812 5.0812 Å, 60.00 60.00 60.00°
Element x y z (fractional)
Sr 0.7500 0.7500 0.7500
Sm 0.2500 0.2500 0.2500
Pd 0.0000 0.0000 0.0000
Rh 0.5000 0.5000 0.5000

electronic total energy	-5.252	eV/atom
symmetry	No. 216
spin magnetization	0.000	μB per formula unit
N(E_F)	2.17	states/eV/cell
DFT formation energy	-2.062	eV/f.u.
volume	93	Å³ per cell


A plane-wave DFT calculation with PBE-GGA was carried out for LiZn2P after structural relaxation.

Cell: 2.7662 2.7662 7.9656 Å, 90.00 90.00 99.00°
Element x y z (fractional)
Zn 0.5000 0.5000 0.2487
Zn 0.0000 0.0000 0.9941
Li 0.0000 0.0000 0.5130
P 0.5000 0.5000 0.7442

electronic total energy	-2.488	eV/atom
symmetry	No. 35
spin magnetization	0.000	μB per formula unit
N(E_F)	0.98	states/eV/cell
DFT formation energy	-0.081	eV/f.u.
volume	60	Å³ per cell


A plane-wave DFT calculation with PBE-GGA was carried out for LiSm2Bi2 after structural relaxation.

Cell: 6.4896 6.5364 8.2358 Å, 113.38 113.20 90.00°
Element x y z (fractional)
Bi 0.3850 0.6309 0.7699
Bi 0.6150 0.3691 0.2301
Bi 0.8850 0.1390 0.7699
Bi 0.1150 0.8610 0.2301
Sm 0.1496 0.3802 0.2993
Sm 0.3504 0.0809 0.7007
Sm 0.6496 0.9191 0.2993
Sm 0.8504 0.6198 0.7007
Li 0.2500 0.5000 0.0000
Li 0.7500 0.5000 0.0000

electronic total energy	-4.541	eV/atom
symmetry	No. 72
spin magnetization	0.000	μB per formula unit
N(E_F)	5.06	states/eV/cell
DFT formation energy	-3.590	eV/f.u.
volume	290	Å³ per cell


A plane-wave DFT calculation with PBE-GGA was carried out for CeZr2Pa after structural relaxation.

Cell: 3.8953 3.8953 6.8279 Å, 90.00 90.00 90.00°
Site moments in Bohr magnetons follow the coordinates.
Element x y z (fractional)
Ce 0.5000 0.5000 0.5000  0.35
Zr 0.0000 0.0000 0.2165  0.01
Zr 0.0000 0.0000 0.7835  0.01
Pa 0.5000 0.5000 0.0000  0.01

electronic total energy	-7.949	eV/atom
symmetry	No. 123
spin magnetization	0.470	μB per formula unit
N(E_F)	9.25	states/eV/cell
DFT formation energy	0.729	eV/f.u.
volume	104	Å³ per cell